Record 1
BW2N4: optimized geometry, PBE. Values from VASP.

The structure in Quantum ESPRESSO input format:
```
&SYSTEM
  ibrav = 0, nat = 28, ntyp = 3
/
ATOMIC_SPECIES
W 183.84 W.upf
N 14.01 N.upf
B 10.81 B.upf
CELL_PARAMETERS angstrom
4.790 0.000 0.000
0.000 5.766 0.000
-0.042 0.000 9.919
ATOMIC_POSITIONS crystal
W 0.997 0.235 0.750
W 0.000 0.000 0.500
W 0.003 0.235 0.250
W 0.000 0.500 0.000
W 0.000 0.000 0.000
W 0.003 0.765 0.250
W 0.997 0.765 0.750
W 0.500 0.500 0.500
N 0.715 0.000 0.183
N 0.742 0.500 0.166
N 0.285 0.000 0.817
N 0.725 0.235 0.413
N 0.278 0.000 0.334
N 0.275 0.235 0.587
N 0.274 0.720 0.096
N 0.275 0.765 0.587
N 0.258 0.500 0.834
N 0.726 0.720 0.904
N 0.288 0.500 0.321
N 0.274 0.280 0.096
N 0.712 0.500 0.679
N 0.726 0.280 0.904
N 0.722 0.000 0.666
N 0.725 0.765 0.413
B 0.430 0.500 0.169
B 0.570 0.500 0.831
B 0.415 0.000 0.671
B 0.585 0.000 0.329
```

Values from the calculation:
Total moment: 0.00 μB per formula unit
SG: No. 10
Total energy: -9.568 eV per atom


Record 2
BW12N20: optimized geometry, PBE. Values from VASP.

The structure in Quantum ESPRESSO input format:
```
&SYSTEM
  ibrav = 0, nat = 33, ntyp = 3
/
ATOMIC_SPECIES
N 14.01 N.upf
W 183.84 W.upf
B 10.81 B.upf
CELL_PARAMETERS angstrom
2.399 -6.950 -0.843
-7.280 -0.047 1.326
1.358 3.844 -6.176
ATOMIC_POSITIONS crystal
N 0.188 0.631 0.823
N 0.000 0.000 0.786
N 0.000 0.786 0.000
N 0.635 0.443 0.812
N 0.786 0.000 0.000
N 0.557 0.192 0.369
N 0.365 0.177 0.808
N 0.214 0.214 0.214
N 0.812 0.635 0.443
N 0.393 0.000 0.000
N 0.000 0.393 0.000
N 0.177 0.808 0.365
N 0.192 0.369 0.557
N 0.808 0.365 0.177
N 0.823 0.188 0.631
N 0.607 0.607 0.607
N 0.369 0.557 0.192
N 0.631 0.823 0.188
N 0.443 0.812 0.635
N 0.000 0.000 0.393
W 0.326 0.165 0.497
W 0.172 0.839 0.674
W 0.668 0.828 0.503
W 0.839 0.674 0.172
W 0.503 0.668 0.828
W 0.835 0.161 0.332
W 0.332 0.835 0.161
W 0.828 0.503 0.668
W 0.161 0.332 0.835
W 0.674 0.172 0.839
W 0.165 0.497 0.326
W 0.497 0.326 0.165
B 0.000 0.000 0.000
```

Values from the calculation:
Total moment: 0.00 μB per formula unit
SG: No. 197
Total energy: -9.805 eV per atom


Record 3
BW2N4: optimized geometry, PBE. Values from VASP.

The structure in Quantum ESPRESSO input format:
```
&SYSTEM
  ibrav = 0, nat = 7, ntyp = 3
/
ATOMIC_SPECIES
W 183.84 W.upf
N 14.01 N.upf
B 10.81 B.upf
CELL_PARAMETERS angstrom
2.480 -1.430 0.000
2.480 1.430 0.000
-0.014 0.000 10.360
ATOMIC_POSITIONS crystal
W 0.667 0.667 0.402
W 0.333 0.333 0.088
N 0.334 0.334 0.709
N 0.000 0.000 0.525
N 0.333 0.333 0.278
N 0.000 0.000 0.986
B 0.000 0.000 0.680
```

Values from the calculation:
Total moment: 0.79 μB per formula unit
SG: No. 8
Total energy: -9.444 eV per atom


Record 4
B2W7N15: optimized geometry, PBE. Values from VASP.

The structure in Quantum ESPRESSO input format:
```
&SYSTEM
  ibrav = 0, nat = 24, ntyp = 3
/
ATOMIC_SPECIES
N 14.01 N.upf
W 183.84 W.upf
B 10.81 B.upf
CELL_PARAMETERS angstrom
-3.924 7.814 2.642
-6.083 6.742 0.997
-2.960 -5.307 7.348
ATOMIC_POSITIONS crystal
N 0.007 0.007 0.217
N 0.180 0.180 0.182
N 0.803 0.803 0.117
N 0.993 0.993 0.783
N 0.575 0.575 0.007
N 0.425 0.425 0.993
N 0.197 0.197 0.883
N 0.777 0.777 0.387
N 0.000 0.000 0.500
N 0.820 0.820 0.818
N 0.382 0.382 0.302
N 0.223 0.223 0.613
N 0.621 0.621 0.398
N 0.618 0.618 0.698
N 0.379 0.379 0.602
W 0.313 0.313 0.959
W 0.513 0.513 0.655
W 0.811 0.811 0.610
W 0.687 0.687 0.041
W 0.000 0.000 0.000
W 0.487 0.487 0.345
W 0.189 0.189 0.390
B 0.835 0.835 0.279
B 0.165 0.165 0.721
```

Values from the calculation:
Total moment: 0.00 μB per formula unit
SG: No. 12
Total energy: -9.752 eV per atom


Record 5
BW3N5: optimized geometry, PBE. Values from VASP.

The structure in Quantum ESPRESSO input format:
```
&SYSTEM
  ibrav = 0, nat = 18, ntyp = 3
/
ATOMIC_SPECIES
N 14.01 N.upf
W 183.84 W.upf
B 10.81 B.upf
CELL_PARAMETERS angstrom
-3.859 3.364 2.136
-0.928 -2.207 1.800
7.639 2.726 7.280
ATOMIC_POSITIONS crystal
N 0.189 0.500 0.610
N 0.951 0.000 0.802
N 0.492 0.000 0.801
N 0.307 0.000 0.395
N 0.693 0.000 0.605
N 0.251 0.500 0.009
N 0.811 0.500 0.390
N 0.749 0.500 0.991
N 0.049 0.000 0.198
N 0.508 0.000 0.199
W 0.000 0.000 0.000
W 0.000 0.000 0.500
W 0.778 0.500 0.198
W 0.500 0.000 0.000
W 0.500 0.500 0.500
W 0.222 0.500 0.802
B 0.287 0.000 0.262
B 0.713 0.000 0.738
```

Values from the calculation:
Total moment: 0.00 μB per formula unit
SG: No. 10
Total energy: -10.007 eV per atom


Record 6
B2W3N8: optimized geometry, PBE. Values from VASP.

The structure in Quantum ESPRESSO input format:
```
&SYSTEM
  ibrav = 0, nat = 26, ntyp = 3
/
ATOMIC_SPECIES
N 14.01 N.upf
W 183.84 W.upf
B 10.81 B.upf
CELL_PARAMETERS angstrom
-0.016 5.712 0.856
-4.464 0.157 -1.126
-2.448 -1.679 9.476
ATOMIC_POSITIONS crystal
N 0.975 0.265 0.340
N 0.774 0.748 0.395
N 0.975 0.235 0.840
N 0.550 0.299 0.326
N 0.226 0.248 0.105
N 0.756 0.305 0.557
N 0.226 0.252 0.605
N 0.244 0.695 0.443
N 0.450 0.799 0.174
N 0.756 0.195 0.057
N 0.244 0.805 0.943
N 0.450 0.701 0.674
N 0.025 0.765 0.160
N 0.025 0.735 0.660
N 0.774 0.752 0.895
N 0.550 0.201 0.826
W 0.729 0.992 0.228
W 0.000 0.000 0.500
W 0.271 0.492 0.272
W 0.000 0.500 0.000
W 0.271 0.008 0.772
W 0.729 0.508 0.728
B 0.247 0.926 0.087
B 0.753 0.074 0.913
B 0.753 0.426 0.413
B 0.247 0.574 0.587
```

Values from the calculation:
Total moment: 0.01 μB per formula unit
SG: No. 14
Total energy: -9.363 eV per atom


Record 7
BW3N5: optimized geometry, PBE. Values from VASP.

The structure in Quantum ESPRESSO input format:
```
&SYSTEM
  ibrav = 0, nat = 18, ntyp = 3
/
ATOMIC_SPECIES
B 10.81 B.upf
N 14.01 N.upf
W 183.84 W.upf
CELL_PARAMETERS angstrom
3.266 0.000 0.000
-1.633 2.828 0.000
0.000 0.000 21.268
ATOMIC_POSITIONS crystal
B 0.667 0.333 0.626
B 0.333 0.667 0.126
N 0.333 0.667 0.455
N 0.000 0.000 0.362
N 0.000 0.000 0.652
N 0.333 0.667 0.057
N 0.667 0.333 0.955
N 0.667 0.333 0.557
N 0.667 0.333 0.746
N 0.333 0.667 0.246
N 0.000 0.000 0.152
N 0.000 0.000 0.862
W 0.000 0.000 0.253
W 0.000 0.000 0.753
W 0.667 0.333 0.855
W 0.000 0.000 0.006
W 0.000 0.000 0.506
W 0.333 0.667 0.355
```

Values from the calculation:
Total moment: 0.57 μB per formula unit
SG: No. 186
Total energy: -9.552 eV per atom


Record 8
ZnB2N: optimized geometry, PBE. Values from VASP.

The structure in Quantum ESPRESSO input format:
```
&SYSTEM
  ibrav = 0, nat = 4, ntyp = 3
/
ATOMIC_SPECIES
B 10.81 B.upf
Zn 65.41 Zn.upf
N 14.01 N.upf
CELL_PARAMETERS angstrom
-1.874 2.083 0.114
-1.478 -1.217 -2.049
-2.343 -2.275 3.041
ATOMIC_POSITIONS crystal
B 0.500 0.500 0.500
B 0.000 0.000 0.000
Zn 0.000 0.000 0.500
N 0.500 0.500 0.000
```

Values from the calculation:
SG: No. 123
Total energy: -4.072 eV per atom


Record 9
NaNdB: optimized geometry, PBE. Values from VASP.

The structure in Quantum ESPRESSO input format:
```
&SYSTEM
  ibrav = 0, nat = 3, ntyp = 3
/
ATOMIC_SPECIES
Nd 144.24 Nd.upf
B 10.81 B.upf
Na 22.99 Na.upf
CELL_PARAMETERS angstrom
0.000 3.209 3.209
3.209 0.000 3.209
3.209 3.209 0.000
ATOMIC_POSITIONS crystal
Nd 0.750 0.750 0.750
B 0.000 0.000 0.000
Na 0.250 0.250 0.250
```

Values from the calculation:
Total moment: 0.00 μB per formula unit
SG: No. 216
Total energy: -3.785 eV per atom


Record 10
Na3NdB2O6: optimized geometry, PBE. Values from VASP.

The structure in Quantum ESPRESSO input format:
```
&SYSTEM
  ibrav = 0, nat = 48, ntyp = 4
/
ATOMIC_SPECIES
O 16.00 O.upf
Na 22.99 Na.upf
B 10.81 B.upf
Nd 144.24 Nd.upf
CELL_PARAMETERS angstrom
6.588 0.000 0.000
0.000 8.719 0.000
-6.523 0.000 10.123
ATOMIC_POSITIONS crystal
O 0.293 0.414 0.114
O 0.752 0.021 0.088
O 0.492 0.634 0.247
O 0.752 0.479 0.588
O 0.248 0.979 0.912
O 0.880 0.717 0.705
O 0.887 0.395 0.373
O 0.316 0.650 0.014
O 0.707 0.914 0.386
O 0.887 0.105 0.873
O 0.684 0.150 0.486
O 0.120 0.283 0.295
O 0.492 0.866 0.747
O 0.707 0.586 0.886
O 0.316 0.850 0.514
O 0.248 0.521 0.412
O 0.508 0.366 0.753
O 0.120 0.217 0.795
O 0.113 0.605 0.627
O 0.293 0.086 0.614
O 0.113 0.895 0.127
O 0.684 0.350 0.986
O 0.508 0.134 0.253
O 0.880 0.783 0.205
Na 0.082 0.060 0.386
Na 0.669 0.232 0.656
Na 0.079 0.186 0.103
Na 0.082 0.440 0.886
Na 0.669 0.268 0.156
Na 0.079 0.314 0.603
Na 0.918 0.560 0.114
Na 0.331 0.768 0.344
Na 0.921 0.814 0.897
Na 0.331 0.732 0.844
Na 0.921 0.686 0.397
Na 0.918 0.940 0.614
B 0.368 0.565 0.123
B 0.632 0.065 0.377
B 0.082 0.101 0.861
B 0.918 0.601 0.639
B 0.918 0.899 0.139
B 0.632 0.435 0.877
B 0.368 0.935 0.623
B 0.082 0.399 0.361
Nd 0.487 0.616 0.645
Nd 0.513 0.116 0.855
Nd 0.513 0.384 0.355
Nd 0.487 0.884 0.145
```

Values from the calculation:
Total moment: 0.00 μB per formula unit
SG: No. 14
Total energy: -6.769 eV per atom


Record 11
NaNiB4: optimized geometry, PBE. Values from VASP.

The structure in Quantum ESPRESSO input format:
```
&SYSTEM
  ibrav = 0, nat = 6, ntyp = 3
/
ATOMIC_SPECIES
B 10.81 B.upf
Ni 58.69 Ni.upf
Na 22.99 Na.upf
CELL_PARAMETERS angstrom
4.045 -2.552 1.083
3.378 3.554 0.080
-3.873 -2.272 1.972
ATOMIC_POSITIONS crystal
B 0.131 0.776 0.355
B 0.420 0.776 0.645
B 0.580 0.224 0.355
B 0.869 0.224 0.645
Ni 0.500 0.500 0.000
Na 0.000 0.000 0.000
```

Values from the calculation:
Total moment: 0.00 μB per formula unit
SG: No. 71
Total energy: -5.367 eV per atom


Record 12
NaNiB4: optimized geometry, PBE. Values from VASP.

The structure in Quantum ESPRESSO input format:
```
&SYSTEM
  ibrav = 0, nat = 6, ntyp = 3
/
ATOMIC_SPECIES
Ni 58.69 Ni.upf
Na 22.99 Na.upf
B 10.81 B.upf
CELL_PARAMETERS angstrom
3.012 0.000 0.000
-1.506 2.609 0.000
0.000 0.000 7.176
ATOMIC_POSITIONS crystal
Ni 0.000 0.000 0.000
Na 0.000 0.000 0.500
B 0.333 0.667 0.799
B 0.667 0.333 0.799
B 0.333 0.667 0.201
B 0.667 0.333 0.201
```

Values from the calculation:
Total moment: 0.00 μB per formula unit
SG: No. 191
Total energy: -5.505 eV per atom


Record 13
NaNiBPb: optimized geometry, PBE. Values from VASP.

The structure in Quantum ESPRESSO input format:
```
&SYSTEM
  ibrav = 0, nat = 4, ntyp = 4
/
ATOMIC_SPECIES
B 10.81 B.upf
Na 22.99 Na.upf
Ni 58.69 Ni.upf
Pb 207.20 Pb.upf
CELL_PARAMETERS angstrom
0.000 3.195 3.195
3.195 0.000 3.195
3.195 3.195 0.000
ATOMIC_POSITIONS crystal
B 0.250 0.250 0.250
Na 0.750 0.750 0.750
Ni 0.500 0.500 0.500
Pb 0.000 0.000 0.000
```

Values from the calculation:
Total moment: 0.01 μB per formula unit
SG: No. 216
Total energy: -3.311 eV per atom


Record 14
NaNiBPb: optimized geometry, PBE. Values from VASP.

The structure in Quantum ESPRESSO input format:
```
&SYSTEM
  ibrav = 0, nat = 4, ntyp = 4
/
ATOMIC_SPECIES
Ni 58.69 Ni.upf
B 10.81 B.upf
Na 22.99 Na.upf
Pb 207.20 Pb.upf
CELL_PARAMETERS angstrom
0.000 3.212 3.212
3.212 0.000 3.212
3.212 3.212 0.000
ATOMIC_POSITIONS crystal
Ni 0.500 0.500 0.500
B 0.000 0.000 0.000
Na 0.750 0.750 0.750
Pb 0.250 0.250 0.250
```

Values from the calculation:
Total moment: 0.00 μB per formula unit
SG: No. 216
Total energy: -3.404 eV per atom


Record 15
NaNiBPb: optimized geometry, PBE. Values from VASP.

The structure in Quantum ESPRESSO input format:
```
&SYSTEM
  ibrav = 0, nat = 4, ntyp = 4
/
ATOMIC_SPECIES
Na 22.99 Na.upf
Pb 207.20 Pb.upf
B 10.81 B.upf
Ni 58.69 Ni.upf
CELL_PARAMETERS angstrom
0.000 3.160 3.160
3.160 0.000 3.160
3.160 3.160 0.000
ATOMIC_POSITIONS crystal
Na 0.750 0.750 0.750
Pb 0.000 0.000 0.000
B 0.500 0.500 0.500
Ni 0.250 0.250 0.250
```

Values from the calculation:
Total moment: 0.00 μB per formula unit
SG: No. 216
Total energy: -3.436 eV per atom


Record 16
NaNiSnB: optimized geometry, PBE. Values from VASP.

The structure in Quantum ESPRESSO input format:
```
&SYSTEM
  ibrav = 0, nat = 4, ntyp = 4
/
ATOMIC_SPECIES
B 10.81 B.upf
Ni 58.69 Ni.upf
Na 22.99 Na.upf
Sn 118.71 Sn.upf
CELL_PARAMETERS angstrom
0.505 -4.211 1.189
0.481 -1.045 4.252
-3.237 -2.090 2.134
ATOMIC_POSITIONS crystal
B 0.250 0.250 0.250
Ni 0.500 0.500 0.500
Na 0.750 0.750 0.750
Sn 0.000 0.000 0.000
```

Values from the calculation:
Total moment: 0.01 μB per formula unit
SG: No. 216
Total energy: -3.478 eV per atom


Record 17
NaNiSnB: optimized geometry, PBE. Values from VASP.

The structure in Quantum ESPRESSO input format:
```
&SYSTEM
  ibrav = 0, nat = 4, ntyp = 4
/
ATOMIC_SPECIES
Na 22.99 Na.upf
Ni 58.69 Ni.upf
Sn 118.71 Sn.upf
B 10.81 B.upf
CELL_PARAMETERS angstrom
0.000 3.095 3.095
3.095 0.000 3.095
3.095 3.095 0.000
ATOMIC_POSITIONS crystal
Na 0.750 0.750 0.750
Ni 0.250 0.250 0.250
Sn 0.000 0.000 0.000
B 0.500 0.500 0.500
```

Values from the calculation:
Total moment: 0.00 μB per formula unit
SG: No. 216
Total energy: -3.639 eV per atom


Record 18
NaNiSnB: optimized geometry, PBE. Values from VASP.

The structure in Quantum ESPRESSO input format:
```
&SYSTEM
  ibrav = 0, nat = 4, ntyp = 4
/
ATOMIC_SPECIES
Sn 118.71 Sn.upf
Na 22.99 Na.upf
B 10.81 B.upf
Ni 58.69 Ni.upf
CELL_PARAMETERS angstrom
3.697 -2.406 0.084
0.066 -3.868 2.121
0.234 -3.766 -2.287
ATOMIC_POSITIONS crystal
Sn 0.250 0.250 0.250
Na 0.750 0.750 0.750
B 0.000 0.000 0.000
Ni 0.500 0.500 0.500
```

Values from the calculation:
Total moment: 0.01 μB per formula unit
SG: No. 216
Total energy: -3.654 eV per atom


Record 19
NaNpB: optimized geometry, PBE. Values from VASP.

The structure in Quantum ESPRESSO input format:
```
&SYSTEM
  ibrav = 0, nat = 3, ntyp = 3
/
ATOMIC_SPECIES
Na 22.99 Na.upf
B 10.81 B.upf
Np 237.00 Np.upf
CELL_PARAMETERS angstrom
0.000 3.095 3.095
3.095 0.000 3.095
3.095 3.095 0.000
ATOMIC_POSITIONS crystal
Na 0.250 0.250 0.250
B 0.000 0.000 0.000
Np 0.750 0.750 0.750
```

Values from the calculation:
Total moment: 3.80 μB per formula unit
SG: No. 216
Total energy: -5.952 eV per atom